(1)
KRb2BO at its PBEsol-relaxed geometry. Source: the Alexandria database, functional SCAN.

```
data_KRb2BO
_symmetry_space_group_name_H-M 'P 4/m m m'
_symmetry_Int_Tables_number 123
_symmetry_space_group_name_Hall '-P 4 2'
_cell_length_a 5.438
_cell_length_b 5.438
_cell_length_c 5.172
_cell_angle_alpha 90.00
_cell_angle_beta 90.00
_cell_angle_gamma 90.00
loop_
_atom_site_label
_atom_site_type_symbol
_atom_site_fract_x
_atom_site_fract_y
_atom_site_fract_z
K1 K 0.000 0.000 0.000
Rb1 Rb 0.000 0.500 0.500
B1 B 0.500 0.500 0.000
O1 O 0.000 0.000 0.500
```

Formation energy without anion corrections, meV per atom: 141
Density of states at the Fermi level, states/eV per cell: 4.388
Raw total energy, eV/cell: -62.76
Crystal system: tetragonal

(2)
KBS2O8 at its PBEsol-relaxed geometry. Source: the Alexandria database, functional SCAN.

```
data_KBS2O8
_symmetry_space_group_name_H-M 'P 4/n c c'
_symmetry_Int_Tables_number 130
_cell_length_a 9.033
_cell_length_b 9.033
_cell_length_c 7.469
_cell_angle_alpha 90.00
_cell_angle_beta 90.00
_cell_angle_gamma 90.00
loop_
_symmetry_equiv_pos_as_xyz
'x,y,z'
'-x,-y,-z'
'-y+1/2,x,z'
'y+1/2,-x,-z'
'-x+1/2,-y+1/2,z'
'x+1/2,y+1/2,-z'
'y,-x+1/2,z'
'-y,x+1/2,-z'
'x+1/2,-y,-z+1/2'
'-x+1/2,y,z+1/2'
'-y,-x,-z+1/2'
'y,x,z+1/2'
'-x,y+1/2,-z+1/2'
'x,-y+1/2,z+1/2'
'y+1/2,x+1/2,-z+1/2'
'-y+1/2,-x+1/2,z+1/2'
loop_
_atom_site_label
_atom_site_type_symbol
_atom_site_fract_x
_atom_site_fract_y
_atom_site_fract_z
K1 K 0.250 0.250 0.063
B1 B 0.250 0.750 0.000
S1 S 0.094 0.594 0.250
O1 O 0.049 0.123 0.324
O2 O 0.118 0.718 0.391
```

Formation energy without anion corrections, meV per atom: -1902
Density of states at the Fermi level, states/eV per cell: 0.000
Raw total energy, eV/cell: -430.75
Crystal system: tetragonal

(3)
K3BSb4O13 at its PBEsol-relaxed geometry. Source: the Alexandria database, functional SCAN.

```
data_K3BSb4O13
_symmetry_space_group_name_H-M 'P -1'
_symmetry_Int_Tables_number 2
_cell_length_a 7.163
_cell_length_b 7.267
_cell_length_c 13.318
_cell_angle_alpha 82.22
_cell_angle_beta 79.77
_cell_angle_gamma 63.08
loop_
_symmetry_equiv_pos_as_xyz
'x,y,z'
'-x,-y,-z'
loop_
_atom_site_label
_atom_site_type_symbol
_atom_site_fract_x
_atom_site_fract_y
_atom_site_fract_z
K1 K 0.134 0.063 0.062
K2 K 0.281 0.300 0.806
K3 K 0.305 0.282 0.528
B1 B 0.158 0.774 0.523
Sb1 Sb 0.166 0.703 0.292
Sb2 Sb 0.174 0.199 0.294
Sb3 Sb 0.313 0.816 0.714
Sb4 Sb 0.425 0.428 0.105
O1 O 0.054 0.143 0.436
O2 O 0.066 0.487 0.335
O3 O 0.095 0.719 0.762
O4 O 0.136 0.112 0.692
O5 O 0.162 0.685 0.141
O6 O 0.229 0.677 0.432
O7 O 0.268 0.263 0.149
O8 O 0.277 0.910 0.252
O9 O 0.316 0.832 0.865
O10 O 0.322 0.752 0.573
O11 O 0.415 0.407 0.960
O12 O 0.452 0.109 0.341
O13 O 0.468 0.480 0.249
```

Formation energy without anion corrections, meV per atom: -1854
Density of states at the Fermi level, states/eV per cell: 0.000
Raw total energy, eV/cell: -602.81
Crystal system: triclinic

(4)
KB3SeO7 at its PBEsol-relaxed geometry. Source: the Alexandria database, functional SCAN.

```
data_KB3SeO7
_symmetry_space_group_name_H-M 'P 1 21/c 1'
_symmetry_Int_Tables_number 14
_cell_length_a 4.613
_cell_length_b 17.712
_cell_length_c 8.688
_cell_angle_alpha 90.00
_cell_angle_beta 96.95
_cell_angle_gamma 90.00
loop_
_symmetry_equiv_pos_as_xyz
'x,y,z'
'-x,-y,-z'
'-x,y+1/2,-z+1/2'
'x,-y+1/2,z+1/2'
loop_
_atom_site_label
_atom_site_type_symbol
_atom_site_fract_x
_atom_site_fract_y
_atom_site_fract_z
K1 K 0.164 0.105 0.426
B1 B 0.025 0.688 0.514
B2 B 0.027 0.737 0.772
B3 B 0.193 0.606 0.739
Se1 Se 0.317 0.017 0.810
O1 O 0.015 0.199 0.144
O2 O 0.034 0.538 0.786
O3 O 0.035 0.246 0.888
O4 O 0.118 0.620 0.572
O5 O 0.129 0.671 0.835
O6 O 0.383 0.560 0.212
O7 O 0.491 0.092 0.719
```

Formation energy without anion corrections, meV per atom: -2179
Density of states at the Fermi level, states/eV per cell: 0.000
Raw total energy, eV/cell: -481.83
Crystal system: monoclinic

(5)
K3SmB2O6 at its PBEsol-relaxed geometry. Source: the Alexandria database, functional SCAN.

```
data_K3SmB2O6
_symmetry_space_group_name_H-M 'P n m a'
_symmetry_Int_Tables_number 62
_cell_length_a 8.953
_cell_length_b 7.115
_cell_length_c 11.111
_cell_angle_alpha 90.00
_cell_angle_beta 90.00
_cell_angle_gamma 90.00
loop_
_symmetry_equiv_pos_as_xyz
'x,y,z'
'-x,-y,-z'
'-x+1/2,-y,z+1/2'
'x+1/2,y,-z+1/2'
'x+1/2,-y+1/2,-z+1/2'
'-x+1/2,y+1/2,z+1/2'
'-x,y+1/2,-z'
'x,-y+1/2,z'
loop_
_atom_site_label
_atom_site_type_symbol
_atom_site_fract_x
_atom_site_fract_y
_atom_site_fract_z
K1 K 0.060 0.250 0.132
K2 K 0.196 0.003 0.405
Sm1 Sm 0.128 0.250 0.670
B1 B 0.061 0.750 0.125
B2 B 0.089 0.750 0.616
O1 O 0.008 0.750 0.509
O2 O 0.092 0.250 0.886
O3 O 0.120 0.750 0.243
O4 O 0.128 0.580 0.670
O5 O 0.162 0.750 0.032
```

Formation energy without anion corrections, meV per atom: -2712
Density of states at the Fermi level, states/eV per cell: 0.000
Raw total energy, eV/cell: -616.88
Crystal system: orthorhombic

(6)
KSr4B3O9 at its PBEsol-relaxed geometry. Source: the Alexandria database, functional SCAN.

```
data_KSr4B3O9
_symmetry_space_group_name_H-M 'A m a 2'
_symmetry_Int_Tables_number 40
_cell_length_a 11.000
_cell_length_b 11.923
_cell_length_c 6.862
_cell_angle_alpha 90.00
_cell_angle_beta 90.00
_cell_angle_gamma 90.00
loop_
_symmetry_equiv_pos_as_xyz
'x,y,z'
'-x,-y,z'
'-x+1/2,y,z'
'x+1/2,-y,z'
'x,y+1/2,z+1/2'
'-x,-y+1/2,z+1/2'
'-x+1/2,y+1/2,z+1/2'
'x+1/2,-y+1/2,z+1/2'
loop_
_atom_site_label
_atom_site_type_symbol
_atom_site_fract_x
_atom_site_fract_y
_atom_site_fract_z
K1 K 0.250 0.082 0.000
Sr1 Sr 0.000 0.000 0.547
Sr2 Sr 0.030 0.285 0.401
Sr3 Sr 0.250 0.354 0.768
B1 B 0.000 0.000 0.117
B2 B 0.250 0.124 0.573
B3 B 0.250 0.330 0.189
O1 O 0.000 0.000 0.917
O2 O 0.026 0.401 0.718
O3 O 0.141 0.166 0.654
O4 O 0.141 0.313 0.088
O5 O 0.250 0.044 0.430
O6 O 0.250 0.354 0.386
```

Formation energy without anion corrections, meV per atom: -3023
Density of states at the Fermi level, states/eV per cell: 0.000
Raw total energy, eV/cell: -908.77
Crystal system: orthorhombic

(7)
KSrB5O9 at its PBEsol-relaxed geometry. Source: the Alexandria database, functional SCAN.

```
data_KSrB5O9
_symmetry_space_group_name_H-M 'P 1 21/c 1'
_symmetry_Int_Tables_number 14
_cell_length_a 6.686
_cell_length_b 7.954
_cell_length_c 14.232
_cell_angle_alpha 90.00
_cell_angle_beta 93.15
_cell_angle_gamma 90.00
loop_
_symmetry_equiv_pos_as_xyz
'x,y,z'
'-x,-y,-z'
'-x,y+1/2,-z+1/2'
'x,-y+1/2,z+1/2'
loop_
_atom_site_label
_atom_site_type_symbol
_atom_site_fract_x
_atom_site_fract_y
_atom_site_fract_z
K1 K 0.001 0.154 0.101
Sr1 Sr 0.421 0.015 0.739
B1 B 0.035 0.716 0.672
B2 B 0.119 0.005 0.307
B3 B 0.310 0.224 0.396
B4 B 0.330 0.694 0.564
B5 B 0.440 0.214 0.063
O1 O 0.055 0.599 0.195
O2 O 0.136 0.676 0.585
O3 O 0.142 0.634 0.753
O4 O 0.173 0.166 0.841
O5 O 0.283 0.048 0.364
O6 O 0.292 0.237 0.497
O7 O 0.371 0.672 0.471
O8 O 0.409 0.203 0.155
O9 O 0.480 0.733 0.631
```

Formation energy without anion corrections, meV per atom: -2781
Density of states at the Fermi level, states/eV per cell: 0.000
Raw total energy, eV/cell: -673.32
Crystal system: monoclinic

(8)
KTaB2O6 at its PBEsol-relaxed geometry. Source: the Alexandria database, functional SCAN.

```
data_KTaB2O6
_symmetry_space_group_name_H-M 'P m n 21'
_symmetry_Int_Tables_number 31
_cell_length_a 7.479
_cell_length_b 3.912
_cell_length_c 9.304
_cell_angle_alpha 90.00
_cell_angle_beta 90.00
_cell_angle_gamma 90.00
loop_
_symmetry_equiv_pos_as_xyz
'x,y,z'
'-x+1/2,-y,z+1/2'
'-x,y,z'
'x+1/2,-y,z+1/2'
loop_
_atom_site_label
_atom_site_type_symbol
_atom_site_fract_x
_atom_site_fract_y
_atom_site_fract_z
K1 K 0.000 0.002 0.000
Ta1 Ta 0.000 0.317 0.614
B1 B 0.165 0.518 0.325
O1 O 0.000 0.552 0.255
O2 O 0.000 0.843 0.615
O3 O 0.182 0.364 0.456
O4 O 0.190 0.345 0.758
```

Formation energy without anion corrections, meV per atom: -2775
Density of states at the Fermi level, states/eV per cell: 0.000
Raw total energy, eV/cell: -309.82
Crystal system: orthorhombic

(9)
KZn4B3O9 at its PBEsol-relaxed geometry. Source: the Alexandria database, functional SCAN.

```
data_KZn4B3O9
_symmetry_space_group_name_H-M 'P 1 2/c 1'
_symmetry_Int_Tables_number 13
_cell_length_a 6.938
_cell_length_b 5.002
_cell_length_c 12.533
_cell_angle_alpha 90.00
_cell_angle_beta 93.31
_cell_angle_gamma 90.00
loop_
_symmetry_equiv_pos_as_xyz
'x,y,z'
'-x,-y,-z'
'-x,y,-z+1/2'
'x,-y,z+1/2'
loop_
_atom_site_label
_atom_site_type_symbol
_atom_site_fract_x
_atom_site_fract_y
_atom_site_fract_z
K1 K 0.000 0.192 0.250
Zn1 Zn 0.210 0.340 0.559
Zn2 Zn 0.487 0.148 0.123
B1 B 0.185 0.145 0.951
B2 B 0.500 0.349 0.750
O1 O 0.032 0.238 0.890
O2 O 0.259 0.113 0.432
O3 O 0.274 0.292 0.034
O4 O 0.409 0.211 0.666
O5 O 0.500 0.375 0.250
```

Formation energy without anion corrections, meV per atom: -2136
Density of states at the Fermi level, states/eV per cell: 0.000
Raw total energy, eV/cell: -354.13
Crystal system: monoclinic

(10)
KBOs2Pd at its PBEsol-relaxed geometry. Source: the Alexandria database, functional SCAN.

```
data_KBOs2Pd
_symmetry_space_group_name_H-M 'P 4/m m m'
_symmetry_Int_Tables_number 123
_symmetry_space_group_name_Hall '-P 4 2'
_cell_length_a 4.141
_cell_length_b 4.141
_cell_length_c 4.472
_cell_angle_alpha 90.00
_cell_angle_beta 90.00
_cell_angle_gamma 90.00
loop_
_atom_site_label
_atom_site_type_symbol
_atom_site_fract_x
_atom_site_fract_y
_atom_site_fract_z
K1 K 0.000 0.000 0.000
B1 B 0.500 0.500 0.500
Os1 Os 0.000 0.500 0.500
Pd1 Pd 0.500 0.500 0.000
```

ΔH_f (0 K), eV per atom: 0.898
Density of states at the Fermi level, states/eV per cell: 3.670
Raw total energy, eV/cell: -187.80
Crystal system: tetragonal

(11)
KBP2S at its PBEsol-relaxed geometry. Source: the Alexandria database, functional SCAN.

```
data_KBP2S
_symmetry_space_group_name_H-M 'P 4/m m m'
_symmetry_Int_Tables_number 123
_symmetry_space_group_name_Hall '-P 4 2'
_cell_length_a 5.161
_cell_length_b 5.161
_cell_length_c 5.197
_cell_angle_alpha 90.00
_cell_angle_beta 90.00
_cell_angle_gamma 90.00
loop_
_atom_site_label
_atom_site_type_symbol
_atom_site_fract_x
_atom_site_fract_y
_atom_site_fract_z
K1 K 0.000 0.000 0.000
B1 B 0.500 0.500 0.500
P1 P 0.000 0.500 0.000
S1 S 0.000 0.000 0.500
```

Offset from the most stable computed form, eV/atom: 2.0592
Formation energy without anion corrections, meV per atom: 2677
Density of states at the Fermi level, states/eV per cell: 4.464
Raw total energy, eV/cell: -32.80
Crystal system: tetragonal